# 1
{"formula": "NdCoP", "functional": "GGA-PBE", "state": "optimized geometry", "cell": [[3.941, 0.000, 0.000], [0.000, 3.941, 0.000], [0.000, 0.000, 6.994]], "species": ["Nd", "Nd", "Co", "Co", "P", "P"], "fractional_positions": [[0.250, 0.250, 0.184], [0.750, 0.750, 0.816], [0.250, 0.750, 0.500], [0.750, 0.250, 0.500], [0.250, 0.250, 0.676], [0.750, 0.750, 0.324]], "spacegroup": "P4/nmm (129)", "formation_enthalpy_0k_ev_per_fu": -2.81, "vol_a3_per_cell": 108.64}

---

# 2
{"formula": "Nd14DyTl", "functional": "GGA-PBE", "state": "optimized geometry", "cell": [[10.332, 0.000, 0.000], [0.000, 5.130, 5.130], [0.000, -5.130, 5.130]], "species": ["Nd", "Nd", "Nd", "Nd", "Nd", "Nd", "Nd", "Nd", "Nd", "Nd", "Nd", "Nd", "Nd", "Nd", "Dy", "Tl"], "fractional_positions": [[0.000, 0.000, 0.000], [0.000, 0.000, 0.499], [0.000, 0.499, 0.000], [0.000, 0.499, 0.499], [0.254, 0.748, 0.748], [0.255, 0.251, 0.251], [0.255, 0.251, 0.749], [0.255, 0.749, 0.251], [0.500, 0.500, 0.999], [0.500, 0.999, 0.500], [0.745, 0.251, 0.251], [0.745, 0.251, 0.749], [0.745, 0.749, 0.251], [0.746, 0.748, 0.748], [0.500, 0.000, 0.000], [0.500, 0.500, 0.500]], "spacegroup": "Amm2 (38)", "formation_enthalpy_0k_ev_per_fu": -0.41, "vol_a3_per_cell": 543.82}

---

# 3
{"formula": "Sr2Hg2Pb3", "functional": "GGA-PBE", "state": "optimized geometry", "cell": [[5.942, -2.392, 0.000], [5.942, 2.392, 0.000], [-0.813, 0.000, 7.855]], "species": ["Sr", "Sr", "Hg", "Hg", "Pb", "Pb", "Pb"], "fractional_positions": [[0.118, 0.118, 0.318], [0.882, 0.882, 0.682], [0.399, 0.399, 0.374], [0.601, 0.601, 0.626], [0.193, 0.193, 0.868], [0.500, 0.500, 0.000], [0.807, 0.807, 0.132]], "spacegroup": "C2/m (12)", "formation_enthalpy_0k_ev_per_fu": -2.70, "vol_a3_per_cell": 223.28, "polymorph_energy_ev_per_atom": 0.000}

---

# 4
{"formula": "K3Y3PtO8", "functional": "GGA-PBE", "state": "optimized geometry", "cell": [[3.400, 1.963, 6.275], [-3.400, 1.963, 6.275], [0.000, -3.926, 6.275]], "species": ["K", "K", "K", "Y", "Y", "Y", "Pt", "O", "O", "O", "O", "O", "O", "O", "O"], "fractional_positions": [[0.000, 0.500, 0.500], [0.500, 0.000, 0.500], [0.500, 0.500, 0.000], [0.000, 0.000, 0.500], [0.000, 0.500, 0.000], [0.500, 0.000, 0.000], [0.500, 0.500, 0.500], [0.228, 0.228, 0.228], [0.250, 0.713, 0.713], [0.287, 0.287, 0.750], [0.287, 0.750, 0.287], [0.713, 0.250, 0.713], [0.713, 0.713, 0.250], [0.750, 0.287, 0.287], [0.772, 0.772, 0.772]], "raw_formation_energy_kj_per_mol_atoms": -223.1, "spacegroup": "R-3m (166)", "vol_a3_per_cell": 251.33}

---

# 5
{"formula": "LiZrNb2", "functional": "GGA-PBE", "state": "optimized geometry", "cell": [[-3.720, 3.720, 2.715], [3.720, -3.720, 2.715], [3.720, 3.720, -2.715]], "species": ["Li", "Li", "Zr", "Zr", "Nb", "Nb", "Nb", "Nb"], "fractional_positions": [[0.000, 0.000, 0.000], [0.750, 0.250, 0.500], [0.250, 0.750, 0.500], [0.500, 0.500, 0.000], [0.100, 0.125, 0.475], [0.375, 0.900, 0.025], [0.650, 0.625, 0.525], [0.875, 0.350, 0.975]], "spacegroup": "I-42d (122)", "formation_enthalpy_0k_ev_per_fu": 2.48, "vol_a3_per_cell": 150.29, "polymorph_energy_ev_per_atom": 0.196}

---

# 6
{"formula": "Cs5LaO4", "functional": "GGA-PBE", "state": "optimized geometry", "cell": [[9.655, -1.964, 0.000], [9.655, 1.964, 0.000], [-1.764, 0.000, 7.964]], "species": ["Cs", "Cs", "Cs", "Cs", "Cs", "La", "O", "O", "O", "O"], "fractional_positions": [[0.000, 0.000, 0.000], [0.345, 0.345, 0.652], [0.348, 0.348, 0.192], [0.652, 0.652, 0.808], [0.655, 0.655, 0.348], [0.000, 0.000, 0.500], [0.129, 0.129, 0.566], [0.499, 0.499, 0.297], [0.501, 0.501, 0.703], [0.871, 0.871, 0.434]], "raw_formation_energy_kj_per_mol_atoms": -153.1, "spacegroup": "C2/m (12)", "vol_a3_per_cell": 302.00, "polymorph_energy_ev_per_atom": 0.015}

---

# 7
{"formula": "AcTbPm6", "functional": "GGA-PBE", "state": "optimized geometry", "cell": [[5.202, 0.000, 0.000], [0.000, 5.202, 0.000], [0.000, 0.000, 10.405]], "species": ["Ac", "Tb", "Pm", "Pm", "Pm", "Pm", "Pm", "Pm"], "fractional_positions": [[0.000, 0.000, 0.000], [0.000, 0.000, 0.500], [0.000, 0.500, 0.258], [0.000, 0.500, 0.742], [0.500, 0.000, 0.258], [0.500, 0.000, 0.742], [0.500, 0.500, 0.000], [0.500, 0.500, 0.500]], "spacegroup": "P4/mmm (123)", "formation_enthalpy_0k_ev_per_fu": 0.22, "vol_a3_per_cell": 281.56}

---

# 8
{"formula": "TlFe2N2", "functional": "GGA-PBE", "state": "optimized geometry", "cell": [[6.952, 0.000, 0.000], [0.000, 6.952, 0.000], [0.000, 0.000, 2.702]], "species": ["Tl", "Tl", "Fe", "Fe", "Fe", "Fe", "N", "N", "N", "N"], "fractional_positions": [[0.000, 0.000, 0.000], [0.500, 0.500, 0.000], [0.112, 0.388, 0.000], [0.388, 0.888, 0.000], [0.612, 0.112, 0.000], [0.888, 0.612, 0.000], [0.106, 0.606, 0.500], [0.394, 0.106, 0.500], [0.606, 0.894, 0.500], [0.894, 0.394, 0.500]], "raw_formation_energy_kj_per_mol_atoms": 97.3, "spacegroup": "P4/mbm (127)", "vol_a3_per_cell": 130.62, "polymorph_energy_ev_per_atom": 0.534}

---

# 9
{"formula": "Ta2Nb4Bi", "functional": "GGA-PBE", "state": "optimized geometry", "cell": [[1.841, -11.045, 0.000], [1.841, 11.045, 0.000], [0.000, 0.000, 3.403]], "species": ["Ta", "Ta", "Nb", "Nb", "Nb", "Nb", "Bi"], "fractional_positions": [[0.205, 0.795, 0.000], [0.795, 0.205, 0.000], [0.076, 0.924, 0.000], [0.356, 0.644, 0.500], [0.644, 0.356, 0.500], [0.924, 0.076, 0.000], [0.500, 0.500, 0.500]], "spacegroup": "Cmmm (65)", "formation_enthalpy_0k_ev_per_fu": 2.02, "vol_a3_per_cell": 138.35}

---

# 10
{"formula": "Cs2Rb2Pd", "functional": "GGA-PBE", "state": "optimized geometry", "cell": [[5.244, -7.879, 0.000], [5.244, 7.879, 0.000], [-4.159, 0.000, 8.719]], "species": ["Cs", "Cs", "Cs", "Cs", "Rb", "Rb", "Rb", "Rb", "Pd", "Pd"], "fractional_positions": [[0.223, 0.730, 0.732], [0.270, 0.777, 0.268], [0.730, 0.223, 0.732], [0.777, 0.270, 0.268], [0.258, 0.258, 0.609], [0.269, 0.269, 0.156], [0.731, 0.731, 0.844], [0.742, 0.742, 0.391], [0.413, 0.587, 0.500], [0.587, 0.413, 0.500]], "spacegroup": "C2/m (12)", "formation_enthalpy_0k_ev_per_fu": 0.32, "vol_a3_per_cell": 720.52, "polymorph_energy_ev_per_atom": 0.000}

---

# 11
{"formula": "La2NdDyHg2", "functional": "GGA-PBE", "state": "optimized geometry", "cell": [[5.212, 0.000, 0.000], [0.000, 9.685, 0.000], [0.000, 0.000, 7.334]], "species": ["La", "La", "La", "La", "Nd", "Nd", "Dy", "Dy", "Hg", "Hg", "Hg", "Hg"], "fractional_positions": [[0.000, 0.058, 0.000], [0.000, 0.942, 0.500], [0.500, 0.171, 0.315], [0.500, 0.829, 0.815], [0.500, 0.443, 0.974], [0.500, 0.557, 0.474], [0.000, 0.327, 0.654], [0.000, 0.673, 0.154], [0.000, 0.364, 0.233], [0.000, 0.636, 0.733], [0.500, 0.160, 0.747], [0.500, 0.840, 0.247]], "spacegroup": "Pmc2_1 (26)", "formation_enthalpy_0k_ev_per_fu": -2.02, "vol_a3_per_cell": 370.23}

---

# 12
{"formula": "Rb3DySc2S6", "functional": "GGA-PBE", "state": "optimized geometry", "cell": [[3.414, -5.913, 0.000], [3.414, 5.913, 0.000], [-2.279, 0.000, 7.633]], "species": ["Rb", "Rb", "Rb", "Dy", "Sc", "Sc", "S", "S", "S", "S", "S", "S"], "fractional_positions": [[0.000, 0.000, 0.000], [0.335, 0.665, 0.000], [0.665, 0.335, 0.000], [0.500, 0.500, 0.500], [0.167, 0.833, 0.500], [0.833, 0.167, 0.500], [0.092, 0.438, 0.314], [0.216, 0.216, 0.685], [0.438, 0.092, 0.314], [0.562, 0.908, 0.686], [0.784, 0.784, 0.315], [0.908, 0.562, 0.686]], "raw_formation_energy_kj_per_mol_atoms": -169.2, "spacegroup": "C2/m (12)", "vol_a3_per_cell": 308.22}

---

Which formula does entry 3 have? Sr2Hg2Pb3